[1]
{
  "formula": "CaTb12Sm6",
  "functional": "PBE-GGA",
  "state": "relaxed",
  "sg": "R-3m (166)",
  "lattice_angstrom": [[9.006, -0.288, -2.476], [-3.175, 8.433, -2.476], [-0.206, -0.288, 9.338]],
  "species": ["Tb", "Tb", "Tb", "Tb", "Tb", "Tb", "Tb", "Tb", "Tb", "Tb", "Tb", "Tb", "Sm", "Sm", "Sm", "Sm", "Sm", "Sm", "Ca"],
  "frac_coords": [[0.662, 0.662, 0.901], [0.500, 0.113, 0.887], [0.500, 0.887, 0.113], [0.901, 0.662, 0.662], [0.099, 0.338, 0.338], [0.113, 0.887, 0.500], [0.887, 0.500, 0.113], [0.338, 0.338, 0.099], [0.113, 0.500, 0.887], [0.662, 0.901, 0.662], [0.887, 0.113, 0.500], [0.338, 0.099, 0.338], [0.313, 0.704, 0.313], [0.687, 0.296, 0.687], [0.687, 0.687, 0.296], [0.313, 0.313, 0.704], [0.296, 0.687, 0.687], [0.704, 0.313, 0.313], [0.000, 0.000, 0.000]]
}

[2]
{
  "formula": "CaTb4Sm4",
  "functional": "PBE-GGA",
  "state": "relaxed",
  "sg": "P-1 (2)",
  "lattice_angstrom": [[7.658, -4.165, 2.623], [-4.127, 9.735, -1.425], [2.969, -0.832, 11.565]],
  "species": ["Tb", "Tb", "Tb", "Tb", "Tb", "Tb", "Tb", "Tb", "Ca", "Ca", "Sm", "Sm", "Sm", "Sm", "Sm", "Sm", "Sm", "Sm"],
  "frac_coords": [[0.815, 0.777, 0.434], [0.179, 0.561, 0.569], [0.185, 0.223, 0.566], [0.844, 0.946, 0.911], [0.505, 0.835, 0.251], [0.495, 0.165, 0.749], [0.821, 0.439, 0.431], [0.156, 0.054, 0.089], [0.502, 0.501, 0.242], [0.498, 0.499, 0.758], [0.161, 0.721, 0.100], [0.201, 0.903, 0.552], [0.799, 0.097, 0.448], [0.494, 0.167, 0.245], [0.119, 0.371, 0.110], [0.839, 0.279, 0.900], [0.881, 0.629, 0.890], [0.506, 0.833, 0.755]]
}

no.,total DFT energy (no corrections) (eV per atom),density of states at the Fermi level (states/eV/atom),ΔE_f (eV per formula unit)
1,-4.0783,1.498,8.39
2,-4.3137,1.468,0.58